# Ag2IrRu

An optimized crystal structure of Ag2IrRu (GGA-PBE, Alexandria via LeMat-Bulk).

Structure (POSCAR):
```
Ag2IrRu
1.0
4.8487 -1.3805 0.0000
4.8487 1.3805 0.0000
-0.7842 0.0000 4.7459
Ag Ir Ru
2 1 1
Direct
0.2503 0.2503 0.2498
0.7497 0.7497 0.7502
0.0000 0.0000 0.5000
0.5000 0.5000 0.0000
```

## Properties
For the energy above the lowest structure with this stoichiometry, the calculation gives 1.00 eV/f.u. The value obtained for the final energy is -0.2017 hartree per atom. The density of states at the Fermi level comes out at 5.8 states/eV/f.u.


# AgIr2Ru2

An optimized crystal structure of AgIr2Ru2 (GGA-PBE, Alexandria via LeMat-Bulk).

Structure (POSCAR):
```
AgIr2Ru2
1.0
7.5813 0.0000 0.0000
0.0000 7.5813 0.0000
0.0000 0.0000 2.7352
Ag Ir Ru
2 4 4
Direct
0.0000 0.0000 0.0000
0.5000 0.5000 0.0000
0.1723 0.3277 0.5000
0.3277 0.8277 0.5000
0.6723 0.1723 0.5000
0.8277 0.6723 0.5000
0.1212 0.6212 0.0000
0.3788 0.1212 0.0000
0.6212 0.8788 0.0000
0.8788 0.3788 0.0000
```

## Properties
For the energy above the lowest structure with this stoichiometry, the calculation gives 0.04 eV/f.u. The value obtained for the final energy is -0.2761 hartree per atom. The density of states at the Fermi level comes out at 5.3 states/eV/f.u.


# AgIr2Ru

An optimized crystal structure of AgIr2Ru (GGA-PBE, Alexandria via LeMat-Bulk).

Structure (POSCAR):
```
AgIr2Ru
1.0
-1.9486 1.9486 3.9466
1.9486 -1.9486 3.9466
1.9486 1.9486 -3.9466
Ag Ir Ru
1 2 1
Direct
0.0000 0.0000 0.0000
0.2500 0.7500 0.5000
0.5000 0.5000 0.0000
0.7500 0.2500 0.5000
```

## Properties
For the energy above the lowest structure with this stoichiometry, the calculation gives 0.93 eV/f.u. The value obtained for the final energy is -0.2588 hartree per atom. The density of states at the Fermi level comes out at 5.5 states/eV/f.u.


# AgIrRu2

An optimized crystal structure of AgIrRu2 (GGA-PBE, Alexandria via LeMat-Bulk).

Structure (POSCAR):
```
AgIrRu2
1.0
-1.3745 2.3058 4.9175
1.3745 -2.3058 4.9175
1.3745 2.3058 -4.9175
Ag Ir Ru
1 1 2
Direct
0.0000 0.0000 0.0000
0.5000 0.5000 0.0000
0.2766 0.7766 0.5000
0.7234 0.2234 0.5000
```

## Properties
For the energy above the lowest structure with this stoichiometry, the calculation gives 1.06 eV/f.u. The value obtained for the final energy is -0.2595 hartree per atom. The density of states at the Fermi level comes out at 4.0 states/eV/f.u.


# AgIr2Ru

An optimized crystal structure of AgIr2Ru (GGA-PBE, Alexandria via LeMat-Bulk).

Structure (POSCAR):
```
AgIr2Ru
1.0
-1.9446 1.9446 3.9614
1.9446 -1.9446 3.9614
1.9446 1.9446 -3.9614
Ag Ir Ru
1 2 1
Direct
0.0000 0.0000 0.0000
0.2500 0.7500 0.5000
0.7500 0.2500 0.5000
0.5000 0.5000 0.0000
```

## Properties
For the energy above the lowest structure with this stoichiometry, the calculation gives 0.84 eV/f.u. The value obtained for the final energy is -0.2596 hartree per atom. The density of states at the Fermi level comes out at 4.9 states/eV/f.u.


# Ag2IrRu

An optimized crystal structure of Ag2IrRu (GGA-PBE, Alexandria via LeMat-Bulk).

Structure (POSCAR):
```
Ag2IrRu
1.0
2.7732 0.0000 0.0000
0.0000 4.6992 0.0000
0.0000 0.0000 4.9400
Ag Ir Ru
2 1 1
Direct
0.0000 0.0000 0.0000
0.5000 0.5000 0.0000
0.0000 0.5000 0.5000
0.5000 0.0000 0.5000
```

## Properties
For the energy above the lowest structure with this stoichiometry, the calculation gives 1.16 eV/f.u. The value obtained for the final energy is -0.2003 hartree per atom. The density of states at the Fermi level comes out at 4.1 states/eV/f.u.


# Ag2IrRu

An optimized crystal structure of Ag2IrRu (GGA-PBE, Alexandria via LeMat-Bulk).

Structure (POSCAR):
```
Ag2IrRu
1.0
-1.4090 2.4133 4.8104
1.4090 -2.4133 4.8104
1.4090 2.4133 -4.8104
Ag Ir Ru
2 1 1
Direct
0.0000 0.0000 0.0000
0.7349 0.2349 0.5000
0.2581 0.7581 0.5000
0.4738 0.4738 0.0000
```

## Properties
For the energy above the lowest structure with this stoichiometry, the calculation gives 1.33 eV/f.u. The value obtained for the final energy is -0.1987 hartree per atom. The density of states at the Fermi level comes out at 4.3 states/eV/f.u.


# AgIrRu2

An optimized crystal structure of AgIrRu2 (GGA-PBE, Alexandria via LeMat-Bulk).

Structure (POSCAR):
```
AgIrRu2
1.0
2.7535 -3.9398 0.0000
2.7535 3.9398 0.0000
0.0000 0.0000 2.7357
Ag Ir Ru
1 1 2
Direct
0.0000 0.0000 0.0000
0.5000 0.5000 0.0000
0.0000 0.5000 0.5000
0.5000 0.0000 0.5000
```

## Properties
For the energy above the lowest structure with this stoichiometry, the calculation gives 0.88 eV/f.u. The value obtained for the final energy is -0.2612 hartree per atom. The density of states at the Fermi level comes out at 6.5 states/eV/f.u.


# AgIr2Ru

An optimized crystal structure of AgIr2Ru (GGA-PBE, Alexandria via LeMat-Bulk).

Structure (POSCAR):
```
AgIr2Ru
1.0
1.3779 -2.3558 0.0000
1.3779 2.3558 0.0000
0.0000 0.0000 9.5192
Ag Ir Ru
1 2 1
Direct
0.0000 0.0000 0.0000
0.5000 0.5000 0.2627
0.5000 0.5000 0.7373
0.0000 0.0000 0.5000
```

## Properties
For the energy above the lowest structure with this stoichiometry, the calculation gives 0.84 eV/f.u. The value obtained for the final energy is -0.2596 hartree per atom. The density of states at the Fermi level comes out at 5.5 states/eV/f.u.


# AgIr2Ru

An optimized crystal structure of AgIr2Ru (GGA-PBE, Alexandria via LeMat-Bulk).

Structure (POSCAR):
```
AgIr2Ru
1.0
-1.3685 2.3280 4.9144
1.3685 -2.3280 4.9144
1.3685 2.3280 -4.9144
Ag Ir Ru
1 2 1
Direct
0.0000 0.0000 0.0000
0.2734 0.7734 0.5000
0.5035 0.5035 0.0000
0.7257 0.2257 0.5000
```

## Properties
For the energy above the lowest structure with this stoichiometry, the calculation gives 1.02 eV/f.u. The value obtained for the final energy is -0.2580 hartree per atom. The density of states at the Fermi level comes out at 4.6 states/eV/f.u.


# AgIrRu2

An optimized crystal structure of AgIrRu2 (GGA-PBE, Alexandria via LeMat-Bulk).

Structure (POSCAR):
```
AgIrRu2
1.0
4.5919 -1.3669 0.0000
4.5919 1.3669 0.0000
-0.8057 0.0000 4.7546
Ag Ir Ru
1 1 2
Direct
0.0000 0.0000 0.0000
0.2419 0.2419 0.7355
0.5006 0.5006 0.4965
0.7593 0.7593 0.2704
```

## Properties
For the energy above the lowest structure with this stoichiometry, the calculation gives 0.53 eV/f.u. The value obtained for the final energy is -0.2644 hartree per atom. The density of states at the Fermi level comes out at 5.1 states/eV/f.u.


# AgIr2Ru

An optimized crystal structure of AgIr2Ru (GGA-PBE, Alexandria via LeMat-Bulk).

Structure (POSCAR):
```
AgIr2Ru
1.0
1.3829 0.7984 9.1203
-1.3829 0.7984 9.1203
0.0000 -1.5968 9.1203
Ag Ir Ru
1 2 1
Direct
0.0000 0.0000 0.0000
0.2446 0.2446 0.2446
0.7554 0.7554 0.7554
0.5000 0.5000 0.5000
```

## Properties
For the energy above the lowest structure with this stoichiometry, the calculation gives 0.01 eV/f.u. The value obtained for the final energy is -0.2673 hartree per atom. The density of states at the Fermi level comes out at 7.0 states/eV/f.u.


# AgIrRu2

An optimized crystal structure of AgIrRu2 (GGA-PBE, Alexandria via LeMat-Bulk).

Structure (POSCAR):
```
AgIrRu2
1.0
3.9049 0.0000 0.0000
0.0000 3.9049 0.0000
0.0000 0.0000 3.9359
Ag Ir Ru
1 1 2
Direct
0.0000 0.0000 0.0000
0.5000 0.5000 0.0000
0.0000 0.5000 0.5000
0.5000 0.0000 0.5000
```

## Properties
For the energy above the lowest structure with this stoichiometry, the calculation gives 1.26 eV/f.u. The value obtained for the final energy is -0.2577 hartree per atom. The density of states at the Fermi level comes out at 5.3 states/eV/f.u.


# AgIrRu2

An optimized crystal structure of AgIrRu2 (GGA-PBE, Alexandria via LeMat-Bulk).

Structure (POSCAR):
```
AgIrRu2
1.0
1.3751 0.7939 9.1636
-1.3751 0.7939 9.1636
0.0000 -1.5879 9.1636
Ag Ir Ru
1 1 2
Direct
0.0000 0.0000 0.0000
0.2443 0.2443 0.2443
0.4983 0.4983 0.4983
0.7559 0.7559 0.7559
```

## Properties
For the energy above the lowest structure with this stoichiometry, the calculation gives 0.00 eV/f.u. The value obtained for the final energy is -0.2692 hartree per atom. The density of states at the Fermi level comes out at 6.0 states/eV/f.u.


# AgIr2Ru

An optimized crystal structure of AgIr2Ru (GGA-PBE, Alexandria via LeMat-Bulk).

Structure (POSCAR):
```
AgIr2Ru
1.0
0.0000 3.1418 3.1418
3.1418 0.0000 3.1418
3.1418 3.1418 0.0000
Ag Ir Ru
1 2 1
Direct
0.0000 0.0000 0.0000
0.2500 0.2500 0.2500
0.7500 0.7500 0.7500
0.5000 0.5000 0.5000
```

## Properties
For the energy above the lowest structure with this stoichiometry, the calculation gives 1.90 eV/f.u. The value obtained for the final energy is -0.2499 hartree per atom. The density of states at the Fermi level comes out at 3.4 states/eV/f.u.


# Ag2IrRu

An optimized crystal structure of Ag2IrRu (GGA-PBE, Alexandria via LeMat-Bulk).

Structure (POSCAR):
```
Ag2IrRu
1.0
1.3975 0.8068 9.4137
-1.3975 0.8068 9.4137
0.0000 -1.6137 9.4137
Ag Ir Ru
2 1 1
Direct
0.0000 0.0000 0.0000
0.2450 0.2450 0.2450
0.7530 0.7530 0.7530
0.4924 0.4924 0.4924
```

## Properties
For the energy above the lowest structure with this stoichiometry, the calculation gives 0.05 eV/f.u. The value obtained for the final energy is -0.2104 hartree per atom. The density of states at the Fermi level comes out at 3.9 states/eV/f.u.


# Ag2IrRu

An optimized crystal structure of Ag2IrRu (GGA-PBE, Alexandria via LeMat-Bulk).

Structure (POSCAR):
```
Ag2IrRu
1.0
2.7079 0.0000 0.0000
0.0000 2.7079 0.0000
0.0000 0.0000 8.7848
Ag Ir Ru
2 1 1
Direct
0.0000 0.0000 0.2496
0.0000 0.0000 0.7504
0.5000 0.5000 0.0000
0.5000 0.5000 0.5000
```

## Properties
For the energy above the lowest structure with this stoichiometry, the calculation gives 1.60 eV/f.u. The value obtained for the final energy is -0.1962 hartree per atom. The density of states at the Fermi level comes out at 4.3 states/eV/f.u.


# AgIr2Ru

An optimized crystal structure of AgIr2Ru (GGA-PBE, Alexandria via LeMat-Bulk).

Structure (POSCAR):
```
AgIr2Ru
1.0
1.3676 -2.3613 0.0000
1.3676 2.3613 0.0000
0.0000 0.0000 9.5809
Ag Ir Ru
1 2 1
Direct
0.0000 0.0000 0.0000
0.0000 0.0000 0.5028
0.5000 0.5000 0.2612
0.5000 0.5000 0.7387
```

## Properties
For the energy above the lowest structure with this stoichiometry, the calculation gives 1.00 eV/f.u. The value obtained for the final energy is -0.2582 hartree per atom. The density of states at the Fermi level comes out at 5.3 states/eV/f.u.


# Ag2IrRu2

An optimized crystal structure of Ag2IrRu2 (GGA-PBE, Alexandria via LeMat-Bulk).

Structure (POSCAR):
```
Ag2IrRu2
1.0
-1.7766 1.7766 6.8412
1.7766 -1.7766 6.8412
1.7766 1.7766 -6.8412
Ag Ir Ru
2 1 2
Direct
0.2500 0.7500 0.5000
0.7500 0.2500 0.5000
0.0000 0.0000 0.0000
0.4121 0.4121 0.0000
0.5879 0.5879 0.0000
```

## Properties
For the energy above the lowest structure with this stoichiometry, the calculation gives 1.26 eV/f.u. The value obtained for the final energy is -0.2060 hartree per atom. The density of states at the Fermi level comes out at 5.8 states/eV/f.u.


# AgIrRu2

An optimized crystal structure of AgIrRu2 (GGA-PBE, Alexandria via LeMat-Bulk).

Structure (POSCAR):
```
AgIrRu2
1.0
-1.9323 1.9323 3.9762
1.9323 -1.9323 3.9762
1.9323 1.9323 -3.9762
Ag Ir Ru
1 1 2
Direct
0.0000 0.0000 0.0000
0.2500 0.7500 0.5000
0.5000 0.5000 0.0000
0.7500 0.2500 0.5000
```

## Properties
For the energy above the lowest structure with this stoichiometry, the calculation gives 0.89 eV/f.u. The value obtained for the final energy is -0.2611 hartree per atom. The density of states at the Fermi level comes out at 5.1 states/eV/f.u.